Record 1
First-principles (GGA-PBE) data for SmZnSe2 after structural relaxation, as listed in Alexandria.

## Properties
mass density: 4.9 g/cm3
ΔE_f (raw): -1.011 eV per atom
D(E_F): 0.73 states/eV per atom

CIF file:
```
data_SmZnSe2
_chemical_formula_sum 'Sm3 Zn3 Se6'
_space_group_name_H-M_alt 'R -3 m'
_space_group_IT_number 166
_space_group_name_Hall '-R 3 2"'
_cell_length_a 4.2252
_cell_length_b 4.2252
_cell_length_c 24.4295
_cell_angle_alpha 90.00
_cell_angle_beta 90.00
_cell_angle_gamma 120.00
loop_
_atom_site_label
_atom_site_type_symbol
_atom_site_fract_x
_atom_site_fract_y
_atom_site_fract_z
Sm1 Sm 0.0000 0.0000 0.0000
Zn1 Zn 0.0000 0.0000 0.5000
Se1 Se 0.0000 0.0000 0.4002
```


Record 2
First-principles (GGA-PBE) data for SmZrSe3 after structural relaxation, as listed in Alexandria.

## Properties
mass density: 6.6 g/cm3
ΔE_f (raw): -1.553 eV per atom
D(E_F): 0.55 states/eV per atom

CIF file:
```
data_SmZrSe3
_chemical_formula_sum 'Sm4 Zr4 Se12'
_space_group_name_H-M_alt 'P n m a'
_space_group_IT_number 62
_space_group_name_Hall '-P 2ac 2n'
_cell_length_a 8.602
_cell_length_b 3.853
_cell_length_c 14.621
_cell_angle_alpha 90.00
_cell_angle_beta 90.00
_cell_angle_gamma 90.00
loop_
_atom_site_label
_atom_site_type_symbol
_atom_site_fract_x
_atom_site_fract_y
_atom_site_fract_z
Sm1 Sm 0.141 0.250 0.196
Zr1 Zr 0.167 0.750 0.463
Se1 Se 0.009 0.750 0.620
Se2 Se 0.156 0.250 0.802
Se3 Se 0.156 0.750 0.043
```


Record 3
First-principles (GGA-PBE) data for SmZrSe after structural relaxation, as listed in Alexandria.

## Properties
mass density: 7.6 g/cm3
ΔE_f (raw): -0.994 eV per atom
D(E_F): 0.90 states/eV per atom

CIF file:
```
data_SmZrSe
_chemical_formula_sum 'Sm2 Zr2 Se2'
_space_group_name_H-M_alt 'P 4/n m m'
_space_group_IT_number 129
_cell_length_a 4.122
_cell_length_b 4.122
_cell_length_c 8.202
_cell_angle_alpha 90.00
_cell_angle_beta 90.00
_cell_angle_gamma 90.00
loop_
_space_group_symop_operation_xyz
'x,y,z'
'-x,-y,-z'
'-y+1/2,x,z'
'y+1/2,-x,-z'
'-x+1/2,-y+1/2,z'
'x+1/2,y+1/2,-z'
'y,-x+1/2,z'
'-y,x+1/2,-z'
'x+1/2,-y,-z'
'-x+1/2,y,z'
'-y,-x,-z'
'y,x,z'
'-x,y+1/2,-z'
'x,-y+1/2,z'
'y+1/2,x+1/2,-z'
'-y+1/2,-x+1/2,z'
loop_
_atom_site_label
_atom_site_type_symbol
_atom_site_fract_x
_atom_site_fract_y
_atom_site_fract_z
Sm1 Sm 0.250 0.250 0.139
Zr1 Zr 0.250 0.750 0.500
Se1 Se 0.250 0.250 0.752
```


Record 4
First-principles (GGA-PBE) data for SmZrSe2 after structural relaxation, as listed in Alexandria.

## Properties
mass density: 7.1 g/cm3
ΔE_f (raw): -1.414 eV per atom
D(E_F): 0.76 states/eV per atom

CIF file:
```
data_SmZrSe2
_chemical_formula_sum 'Sm3 Zr3 Se6'
_space_group_name_H-M_alt 'R 3 m'
_space_group_IT_number 160
_space_group_name_Hall 'R 3 -2"'
_cell_length_a 3.8943
_cell_length_b 3.8943
_cell_length_c 21.1955
_cell_angle_alpha 90.00
_cell_angle_beta 90.00
_cell_angle_gamma 120.00
loop_
_atom_site_label
_atom_site_type_symbol
_atom_site_fract_x
_atom_site_fract_y
_atom_site_fract_z
Sm1 Sm 0.0000 0.0000 0.0000
Zr1 Zr 0.0000 0.0000 0.1734
Se1 Se 0.0000 0.0000 0.5803
Se2 Se 0.0000 0.0000 0.7603
```


Record 5
First-principles (GGA-PBE) data for SmZrSe2 after structural relaxation, as listed in Alexandria.

## Properties
mass density: 5.9 g/cm3
ΔE_f (raw): -1.062 eV per atom
D(E_F): 0.86 states/eV per atom

CIF file:
```
data_SmZrSe2
_chemical_formula_sum 'Sm3 Zr3 Se6'
_space_group_name_H-M_alt 'R -3 m'
_space_group_IT_number 166
_space_group_name_Hall '-R 3 2"'
_cell_length_a 3.7720
_cell_length_b 3.7720
_cell_length_c 27.2524
_cell_angle_alpha 90.00
_cell_angle_beta 90.00
_cell_angle_gamma 120.00
loop_
_atom_site_label
_atom_site_type_symbol
_atom_site_fract_x
_atom_site_fract_y
_atom_site_fract_z
Sm1 Sm 0.0000 0.0000 0.0000
Zr1 Zr 0.0000 0.0000 0.5000
Se1 Se 0.0000 0.0000 0.1061
```


Record 6
First-principles (GGA-PBE) data for Sm2ZrSe5 after structural relaxation, as listed in Alexandria.

## Properties
mass density: 5.0 g/cm3
ΔE_f (raw): -1.579 eV per atom

CIF file:
```
data_Sm2ZrSe5
_chemical_formula_sum 'Sm8 Zr4 Se20'
_space_group_name_H-M_alt 'C m c m'
_space_group_IT_number 63
_space_group_name_Hall '-C 2c 2'
_cell_length_a 5.561
_cell_length_b 13.946
_cell_length_c 13.490
_cell_angle_alpha 90.00
_cell_angle_beta 90.00
_cell_angle_gamma 90.00
loop_
_atom_site_label
_atom_site_type_symbol
_atom_site_fract_x
_atom_site_fract_y
_atom_site_fract_z
Sm1 Sm 0.000 0.147 0.062
Zr1 Zr 0.000 0.191 0.750
Se1 Se 0.000 0.048 0.624
Se2 Se 0.000 0.268 0.250
Se3 Se 0.000 0.309 0.585
```


Record 7
First-principles (GGA-PBE) data for Sm2ZrSe5 after structural relaxation, as listed in Alexandria.

## Properties
mass density: 6.7 g/cm3
ΔE_f (raw): -1.683 eV per atom

CIF file:
```
data_Sm2ZrSe5
_chemical_formula_sum 'Sm8 Zr4 Se20'
_space_group_name_H-M_alt 'P n m a'
_space_group_IT_number 62
_space_group_name_Hall '-P 2ac 2n'
_cell_length_a 12.265
_cell_length_b 8.243
_cell_length_c 7.714
_cell_angle_alpha 90.00
_cell_angle_beta 90.00
_cell_angle_gamma 90.00
loop_
_atom_site_label
_atom_site_type_symbol
_atom_site_fract_x
_atom_site_fract_y
_atom_site_fract_z
Sm1 Sm 0.179 0.004 0.026
Zr1 Zr 0.007 0.750 0.580
Se1 Se 0.004 0.750 0.948
Se2 Se 0.092 0.038 0.662
Se3 Se 0.181 0.750 0.333
Se4 Se 0.208 0.250 0.313
```


Record 8
First-principles (GGA-PBE) data for Sm3ZrSe4 after structural relaxation, as listed in Alexandria.

## Properties
mass density: 7.3 g/cm3
ΔE_f (raw): -1.608 eV per atom
D(E_F): 0.45 states/eV per atom

CIF file:
```
data_Sm3ZrSe4
_chemical_formula_sum 'Sm9 Zr3 Se12'
_space_group_name_H-M_alt 'R -3 m'
_space_group_IT_number 166
_space_group_name_Hall '-R 3 2"'
_cell_length_a 4.0959
_cell_length_b 4.0959
_cell_length_c 40.2285
_cell_angle_alpha 90.00
_cell_angle_beta 90.00
_cell_angle_gamma 120.00
loop_
_atom_site_label
_atom_site_type_symbol
_atom_site_fract_x
_atom_site_fract_y
_atom_site_fract_z
Sm1 Sm 0.0000 0.0000 0.0000
Sm2 Sm 0.0000 0.0000 0.2461
Zr1 Zr 0.0000 0.0000 0.5000
Se1 Se 0.0000 0.0000 0.1298
Se2 Se 0.0000 0.0000 0.3771
```